# 1
The following is a DFT calculation (PBE) of a relaxed structure of GaPOF2.

```
GaPOF2
1.0
-4.3950 0.2974 0.4766
-0.1151 -4.1558 1.5322
0.4409 1.2087 3.3112
F Ga O P
2 1 1 1
Cartesian
-0.0575 -2.0779 0.7661 F
-2.1975 0.1487 0.2383 F
-2.0346 -1.3249 2.6600 Ga
0.2204 0.6043 1.6556 O
0.0000 0.0000 0.0000 P
```

Calculated values
Offset from the most stable computed form   0.000 eV per atom
ρ   3.683 g cm⁻³

---

# 2
The following is a DFT calculation (PBE) of a relaxed structure of GaP2OF.

```
GaP2OF
1.0
4.7825 0.0000 0.0000
0.0000 4.7825 0.0000
0.0000 0.0000 3.6617
P O Ga F
2 1 1 1
Cartesian
2.3912 0.0000 0.0000 P
0.0000 2.3912 0.0000 P
0.0000 0.0000 1.8309 O
0.0000 0.0000 0.0000 Ga
2.3912 2.3912 1.8309 F
```

Calculated values
Offset from the most stable computed form   0.000 eV per atom
ρ   3.305 g cm⁻³